# 1
Below is a geometry-optimized GeP2ClF structure, with properties calculated at the GGA-PBEsol level.

For the density of states at the Fermi level, the calculation gives 3.34 states/eV per cell. The calculation puts the energy relative to the elements, uncorrected at 358.7 meV/atom.

It has space group P4/mmm (No. 123), with a = 4.049 Å, b = 4.049 Å, c = 5.487 Å, α = 90.00°, β = 90.00° and γ = 90.00°. The inequivalent atoms are Ge at (0.000, 0.000, 0.000), P at (0.000, 0.500, 0.500), Cl at (0.500, 0.500, 0.000) and F at (0.500, 0.500, 0.500).

---

# 2
Below is a geometry-optimized LaTc3Pd structure, with properties calculated at the GGA-PBEsol level.

As for the energy relative to the elements: 2.218 eV/atom. For the density of states at the Fermi level, the calculation gives 8.44 states/eV per cell.

It has space group Pm-3m (No. 221), with a = 4.607 Å, b = 4.607 Å, c = 4.607 Å, α = 90.00°, β = 90.00° and γ = 90.00°. The inequivalent atoms are La at (0.000, 0.000, 0.000), Tc at (0.000, 0.000, 0.500) and Pd at (0.500, 0.500, 0.500).